No. 1
DFT (PBE) results for a relaxed Zn2FeRe crystal.

Properties
calculated volume: 13.729 A^3/atom
E above lowest polymorph: 0.52 eV per formula unit
formation energy: 0.7 eV/f.u.

CIF file:
```
data_Zn2FeRe
_cell_length_a 2.6109
_cell_length_b 4.2787
_cell_length_c 4.9500
_cell_angle_alpha 90.00
_cell_angle_beta 96.74
_cell_angle_gamma 90.00
_space_group_name_H-M_alt 'P 1 m 1'
_space_group_IT_number 6
_space_group_name_Hall 'P -2y'
loop_
_atom_site_label
_atom_site_type_symbol
_atom_site_fract_x
_atom_site_fract_y
_atom_site_fract_z
Zn1 Zn 0.0000 0.0000 0.0000
Zn2 Zn 0.0740 0.5000 0.7366
Fe1 Fe 0.6682 0.5000 0.2444
Re1 Re 0.4715 0.0000 0.4912
```

No. 2
DFT (PBE) results for a relaxed Tm7Tl4Rh crystal.

Properties
calculated volume: 28.880 A^3/atom
formation energy: -1.5 eV/f.u.

CIF file:
```
data_Tm7Tl4Rh
_cell_length_a 15.6473
_cell_length_b 5.2240
_cell_length_c 11.2710
_cell_angle_alpha 90.00
_cell_angle_beta 131.21
_cell_angle_gamma 90.00
_space_group_name_H-M_alt 'C 1 2/m 1'
_space_group_IT_number 12
_space_group_name_Hall '-C 2y'
loop_
_atom_site_label
_atom_site_type_symbol
_atom_site_fract_x
_atom_site_fract_y
_atom_site_fract_z
Tm1 Tm 0.0000 0.0000 0.0000
Tm2 Tm 0.0504 0.5000 0.2721
Tm3 Tm 0.1521 0.0000 0.5798
Tm4 Tm 0.2281 0.5000 0.8635
Tl1 Tl 0.0824 0.0000 0.7771
Tl2 Tl 0.2160 0.0000 0.3613
Rh1 Rh 0.0000 0.5000 0.0000
```

No. 3
DFT (PBE) results for a relaxed Pm2Zn3Cu2 crystal.

Properties
calculated volume: 19.325 A^3/atom
E above lowest polymorph: 0.28 eV per formula unit
formation energy: -1.8 eV/f.u.

CIF file:
```
data_Pm2Zn3Cu2
_cell_length_a 9.9667
_cell_length_b 4.4719
_cell_length_c 6.4674
_cell_angle_alpha 90.00
_cell_angle_beta 110.19
_cell_angle_gamma 90.00
_space_group_name_H-M_alt 'C 1 2/m 1'
_space_group_IT_number 12
_space_group_name_Hall '-C 2y'
loop_
_atom_site_label
_atom_site_type_symbol
_atom_site_fract_x
_atom_site_fract_y
_atom_site_fract_z
Pm1 Pm 0.1168 0.0000 0.3409
Zn1 Zn 0.0000 0.5000 0.0000
Zn2 Zn 0.2210 0.0000 0.8746
Cu1 Cu 0.0958 0.5000 0.6916
```

No. 4
DFT (PBE) results for a relaxed AcCuPPt6 crystal.

Properties
calculated volume: 20.049 A^3/atom
formation energy: -3.2 eV/f.u.

CIF file:
```
data_AcCuPPt6
_cell_length_a 7.2582
_cell_length_b 8.7506
_cell_length_c 11.3641
_cell_angle_alpha 90.00
_cell_angle_beta 90.00
_cell_angle_gamma 90.00
_space_group_name_H-M_alt 'I m m a'
_space_group_IT_number 74
_space_group_name_Hall '-I 2b 2'
loop_
_atom_site_label
_atom_site_type_symbol
_atom_site_fract_x
_atom_site_fract_y
_atom_site_fract_z
Ac1 Ac 0.0000 0.2500 0.1513
Cu1 Cu 0.2500 0.2500 0.7500
P1 P 0.0000 0.0000 0.5000
Pt1 Pt 0.0000 0.2500 0.4243
Pt2 Pt 0.0000 0.2500 0.8930
Pt3 Pt 0.2443 0.0183 0.6243
```

No. 5
DFT (PBE) results for a relaxed Tl2CdIr2 crystal.

Properties
calculated volume: 20.203 A^3/atom
formation energy: 1.7 eV/f.u.

CIF file:
```
data_Tl2CdIr2
_cell_length_a 7.1657
_cell_length_b 7.1657
_cell_length_c 3.9345
_cell_angle_alpha 90.00
_cell_angle_beta 90.00
_cell_angle_gamma 90.00
_space_group_name_H-M_alt 'P 4/m b m'
_space_group_IT_number 127
_space_group_name_Hall '-P 4 2ab'
loop_
_atom_site_label
_atom_site_type_symbol
_atom_site_fract_x
_atom_site_fract_y
_atom_site_fract_z
Tl1 Tl 0.1677 0.3323 0.0000
Cd1 Cd 0.0000 0.0000 0.5000
Ir1 Ir 0.1325 0.6325 0.5000
```

No. 6
DFT (PBE) results for a relaxed MnSiAg crystal.

Properties
calculated volume: 17.208 A^3/atom
raw formation energy: 214 meV/atom
E above lowest polymorph: 0.06 eV per formula unit

CIF file:
```
data_MnSiAg
_cell_length_a 5.9107
_cell_length_b 5.9107
_cell_length_c 5.9107
_cell_angle_alpha 90.00
_cell_angle_beta 90.00
_cell_angle_gamma 90.00
_space_group_name_H-M_alt 'F -4 3 m'
_space_group_IT_number 216
_space_group_name_Hall 'F -4 2 3'
loop_
_atom_site_label
_atom_site_type_symbol
_atom_site_fract_x
_atom_site_fract_y
_atom_site_fract_z
Mn1 Mn 0.0000 0.0000 0.0000
Si1 Si 0.2500 0.2500 0.2500
Ag1 Ag 0.0000 0.0000 0.5000
```